Record 1
! ErTmZnRu PBE-GGA relaxed; values from VASP
&SYSTEM
  ibrav = 0, nat = 4, ntyp = 4
/
ATOMIC_SPECIES
Ru 101.07 Ru.upf
Er 167.26 Er.upf
Tm 168.93 Tm.upf
Zn 65.41 Zn.upf
ATOMIC_POSITIONS angstrom
Ru -1.944 1.518 -0.565
Er -3.953 -0.019 4.884
Tm -1.513 -0.007 1.869
Zn -4.177 1.508 2.193
CELL_PARAMETERS angstrom
-0.275 3.387 -0.210
-2.632 -0.346 -2.132
-4.502 -0.022 5.562
! - calculated formation energy (eV/atom) = -0.45
! - density (g/cm³) = 10.1
! - volume (A^3/atom) = 20.7
! - total DFT energy (no corrections) (eV/atom) = -5.351
! - SG = No. 99
! - total magnetic moment (μB per atom) = 0.00
! - offset from the most stable computed form (eV/atom) = 0.000

---

Record 2
! LuHfRu2 PBE-GGA relaxed; values from VASP
&SYSTEM
  ibrav = 0, nat = 4, ntyp = 3
/
ATOMIC_SPECIES
Hf 178.49 Hf.upf
Ru 101.07 Ru.upf
Lu 174.97 Lu.upf
ATOMIC_POSITIONS angstrom
Hf 1.637 1.637 0.000
Ru 0.000 0.000 1.561
Ru 0.000 0.000 5.051
Lu 1.637 1.637 3.306
CELL_PARAMETERS angstrom
3.274 0.000 0.000
0.000 3.274 0.000
0.000 0.000 6.612
! - calculated formation energy (eV/atom) = -0.69
! - density (g/cm³) = 13.0
! - volume (A^3/atom) = 17.7
! - total DFT energy (no corrections) (eV/atom) = -8.942
! - SG = No. 123
! - total magnetic moment (μB per atom) = 0.00
! - offset from the most stable computed form (eV/atom) = 0.000

---

Q: Which value of volume does entry 2 give?
A: 17.7 A^3/atom

---

Copy entry 2 word for word.
! LuHfRu2 PBE-GGA relaxed; values from VASP
&SYSTEM
  ibrav = 0, nat = 4, ntyp = 3
/
ATOMIC_SPECIES
Hf 178.49 Hf.upf
Ru 101.07 Ru.upf
Lu 174.97 Lu.upf
ATOMIC_POSITIONS angstrom
Hf 1.637 1.637 0.000
Ru 0.000 0.000 1.561
Ru 0.000 0.000 5.051
Lu 1.637 1.637 3.306
CELL_PARAMETERS angstrom
3.274 0.000 0.000
0.000 3.274 0.000
0.000 0.000 6.612
! - calculated formation energy (eV/atom) = -0.69
! - density (g/cm³) = 13.0
! - volume (A^3/atom) = 17.7
! - total DFT energy (no corrections) (eV/atom) = -8.942
! - SG = No. 123
! - total magnetic moment (μB per atom) = 0.00
! - offset from the most stable computed form (eV/atom) = 0.000